Record 1
Density functional theory data (GGA-PBE) for a relaxed Ta2GeCl crystal.

Unit cell a=4.534 b=4.534 c=4.534 alpha=60.00 beta=60.00 gamma=60.00
Atoms (fractional coordinates):
Ta1 0.250 0.250 0.250
Ta2 0.750 0.750 0.750
Ge1 0.000 0.000 0.000
Cl1 0.500 0.500 0.500

Energy above the lowest structure with this stoichiometry, meV/atom: 0


Record 2
Density functional theory data (GGA-PBE) for a relaxed YHo2Pd crystal.

Unit cell a=6.400 b=6.400 c=9.267 alpha=90.00 beta=90.00 gamma=145.49
Atoms (fractional coordinates):
Y1 0.061 0.939 0.750
Y2 0.939 0.061 0.250
Ho1 0.364 0.636 0.560
Ho2 0.364 0.636 0.940
Ho3 0.636 0.364 0.060
Ho4 0.636 0.364 0.440
Pd1 0.237 0.763 0.250
Pd2 0.763 0.237 0.750

E_form, eV/atom: -0.465
Energy above the lowest structure with this stoichiometry, meV/atom: 17


Record 3
Density functional theory data (GGA-PBE) for a relaxed SmScSb2O8 crystal.

Unit cell a=6.664 b=6.664 c=6.664 alpha=134.02 beta=134.02 gamma=67.05
Atoms (fractional coordinates):
Sm1 0.000 0.000 0.000
Sc1 0.250 0.750 0.500
Sb1 0.500 0.500 0.000
Sb2 0.750 0.250 0.500
O1 0.034 0.080 0.442
O2 0.227 0.661 0.076
O3 0.339 0.414 0.566
O4 0.409 0.966 0.046
O5 0.586 0.151 0.924
O6 0.637 0.591 0.558
O7 0.849 0.773 0.434
O8 0.920 0.363 0.954

VASP energy, eV per atom: -7.15